# TaCrPd2 (PBE-GGA, optimized geometry)
data_TaCrPd2
_symmetry_space_group_name_H-M 'I -4 2 d'
_symmetry_Int_Tables_number 122
_symmetry_space_group_name_Hall 'I -4 2bw'
_cell_length_a 7.0252
_cell_length_b 7.0252
_cell_length_c 5.2479
_cell_angle_alpha 90.00
_cell_angle_beta 90.00
_cell_angle_gamma 90.00
loop_
_atom_site_label
_atom_site_fract_x
_atom_site_fract_y
_atom_site_fract_z
Ta1 0.0000 0.0000 0.0000
Cr1 0.0000 0.0000 0.5000
Pd1 0.2317 0.2500 0.6250
# E above lowest polymorph in meV per atom: 416.1
# E_form in meV per atom: 413

# TaCr2Pd (PBE-GGA, optimized geometry)
data_TaCr2Pd
_symmetry_space_group_name_H-M 'F m -3 m'
_symmetry_Int_Tables_number 225
_symmetry_space_group_name_Hall '-F 4 2 3'
_cell_length_a 6.1493
_cell_length_b 6.1493
_cell_length_c 6.1493
_cell_angle_alpha 90.00
_cell_angle_beta 90.00
_cell_angle_gamma 90.00
loop_
_atom_site_label
_atom_site_fract_x
_atom_site_fract_y
_atom_site_fract_z
Ta1 0.0000 0.0000 0.0000
Cr1 0.2500 0.2500 0.2500
Pd1 0.0000 0.0000 0.5000
# E above lowest polymorph in meV per atom: 0.0
# E_form in meV per atom: 214

# TaCrPd2 (PBE-GGA, optimized geometry)
data_TaCrPd2
_symmetry_space_group_name_H-M 'F m -3 m'
_symmetry_Int_Tables_number 225
_symmetry_space_group_name_Hall '-F 4 2 3'
_cell_length_a 6.3561
_cell_length_b 6.3561
_cell_length_c 6.3561
_cell_angle_alpha 90.00
_cell_angle_beta 90.00
_cell_angle_gamma 90.00
loop_
_atom_site_label
_atom_site_fract_x
_atom_site_fract_y
_atom_site_fract_z
Ta1 0.0000 0.0000 0.0000
Cr1 0.0000 0.0000 0.5000
Pd1 0.2500 0.2500 0.2500
# E above lowest polymorph in meV per atom: 0.0
# E_form in meV per atom: -3

# TaCrPd6 (PBE-GGA, optimized geometry)
data_TaCrPd6
_symmetry_space_group_name_H-M 'P -1'
_symmetry_Int_Tables_number 2
_symmetry_space_group_name_Hall '-P 1'
_cell_length_a 5.0265
_cell_length_b 5.0279
_cell_length_c 5.0404
_cell_angle_alpha 93.31
_cell_angle_beta 93.23
_cell_angle_gamma 93.16
loop_
_atom_site_label
_atom_site_fract_x
_atom_site_fract_y
_atom_site_fract_z
Ta1 0.0000 0.0000 0.0000
Cr1 0.5000 0.5000 0.5000
Pd1 0.0280 0.7489 0.4689
Pd2 0.2510 0.5300 0.9708
Pd3 0.4709 0.0267 0.7490
# E above lowest polymorph in meV per atom: 162.6
# E_form in meV per atom: -154

# TaCr2Pd (PBE-GGA, optimized geometry)
data_TaCr2Pd
_symmetry_space_group_name_H-M 'I -4 2 d'
_symmetry_Int_Tables_number 122
_symmetry_space_group_name_Hall 'I -4 2bw'
_cell_length_a 6.9369
_cell_length_b 6.9369
_cell_length_c 5.1425
_cell_angle_alpha 90.00
_cell_angle_beta 90.00
_cell_angle_gamma 90.00
loop_
_atom_site_label
_atom_site_fract_x
_atom_site_fract_y
_atom_site_fract_z
Ta1 0.0000 0.0000 0.0000
Cr1 0.2434 0.7500 0.6250
Pd1 0.0000 0.0000 0.5000
# E above lowest polymorph in meV per atom: 529.6
# E_form in meV per atom: 743

# Ta2CrPd (PBE-GGA, optimized geometry)
data_Ta2CrPd
_symmetry_space_group_name_H-M 'I -4 2 d'
_symmetry_Int_Tables_number 122
_symmetry_space_group_name_Hall 'I -4 2bw'
_cell_length_a 3.9229
_cell_length_b 3.9229
_cell_length_c 18.1641
_cell_angle_alpha 90.00
_cell_angle_beta 90.00
_cell_angle_gamma 90.00
loop_
_atom_site_label
_atom_site_fract_x
_atom_site_fract_y
_atom_site_fract_z
Ta1 0.2398 0.2500 0.1250
Cr1 0.0000 0.0000 0.0000
Pd1 0.0000 0.0000 0.5000
# E_form in meV per atom: 698

# Ta3CrPd (PBE-GGA, optimized geometry)
data_Ta3CrPd
_symmetry_space_group_name_H-M 'P m -3 m'
_symmetry_Int_Tables_number 221
_symmetry_space_group_name_Hall '-P 4 2 3'
_cell_length_a 4.5638
_cell_length_b 4.5638
_cell_length_c 4.5638
_cell_angle_alpha 90.00
_cell_angle_beta 90.00
_cell_angle_gamma 90.00
loop_
_atom_site_label
_atom_site_fract_x
_atom_site_fract_y
_atom_site_fract_z
Ta1 0.0000 0.0000 0.5000
Cr1 0.0000 0.0000 0.0000
Pd1 0.5000 0.5000 0.5000
# E above lowest polymorph in meV per atom: 0.0
# E_form in meV per atom: 940

# TaCr2TcPd (PBE-GGA, optimized geometry)
data_TaCr2TcPd
_symmetry_space_group_name_H-M 'P 4/m m m'
_symmetry_Int_Tables_number 123
_symmetry_space_group_name_Hall '-P 4 2'
_cell_length_a 4.3769
_cell_length_b 4.3769
_cell_length_c 4.8159
_cell_angle_alpha 90.00
_cell_angle_beta 90.00
_cell_angle_gamma 90.00
loop_
_atom_site_label
_atom_site_fract_x
_atom_site_fract_y
_atom_site_fract_z
Ta1 0.0000 0.0000 0.0000
Cr1 0.0000 0.5000 0.5000
Tc1 0.0000 0.0000 0.5000
Pd1 0.5000 0.5000 0.0000
# E_form in meV per atom: 1330

# TaCr2TePd (PBE-GGA, optimized geometry)
data_TaCr2TePd
_symmetry_space_group_name_H-M 'P 4/m m m'
_symmetry_Int_Tables_number 123
_symmetry_space_group_name_Hall '-P 4 2'
_cell_length_a 4.8862
_cell_length_b 4.8862
_cell_length_c 4.8253
_cell_angle_alpha 90.00
_cell_angle_beta 90.00
_cell_angle_gamma 90.00
loop_
_atom_site_label
_atom_site_fract_x
_atom_site_fract_y
_atom_site_fract_z
Ta1 0.0000 0.0000 0.0000
Cr1 0.0000 0.5000 0.5000
Te1 0.5000 0.5000 0.0000
Pd1 0.0000 0.0000 0.5000
# Uncorrected formation energy in eV per atom: 1.0563

# Y2TaCrPd (PBE-GGA, optimized geometry)
data_Y2TaCrPd
_symmetry_space_group_name_H-M 'P 4/m m m'
_symmetry_Int_Tables_number 123
_symmetry_space_group_name_Hall '-P 4 2'
_cell_length_a 5.5233
_cell_length_b 5.5233
_cell_length_c 4.3446
_cell_angle_alpha 90.00
_cell_angle_beta 90.00
_cell_angle_gamma 90.00
loop_
_atom_site_label
_atom_site_fract_x
_atom_site_fract_y
_atom_site_fract_z
Y1 0.0000 0.5000 0.0000
Ta1 0.0000 0.0000 0.0000
Cr1 0.0000 0.0000 0.5000
Pd1 0.5000 0.5000 0.5000
# E_form in meV per atom: 959

# TaZnCrPd (PBE-GGA, optimized geometry)
data_TaZnCrPd
_symmetry_space_group_name_H-M 'C 1 m 1'
_symmetry_Int_Tables_number 8
_symmetry_space_group_name_Hall 'C -2y'
_cell_length_a 3.7222
_cell_length_b 4.0442
_cell_length_c 7.9501
_cell_angle_alpha 90.00
_cell_angle_beta 91.72
_cell_angle_gamma 90.00
loop_
_atom_site_label
_atom_site_fract_x
_atom_site_fract_y
_atom_site_fract_z
Ta1 0.0000 0.0000 0.0000
Zn1 0.0176 0.5000 0.2735
Cr1 0.0501 0.5000 0.7413
Pd1 0.0305 0.0000 0.5162
# E above lowest polymorph in meV per atom: 153.0
# E_form in meV per atom: 22

# TaZnCrPd (PBE-GGA, optimized geometry)
data_TaZnCrPd
_symmetry_space_group_name_H-M 'P m m m'
_symmetry_Int_Tables_number 47
_symmetry_space_group_name_Hall '-P 2 2'
_cell_length_a 3.3140
_cell_length_b 4.0451
_cell_length_c 4.4221
_cell_angle_alpha 90.00
_cell_angle_beta 90.00
_cell_angle_gamma 90.00
loop_
_atom_site_label
_atom_site_fract_x
_atom_site_fract_y
_atom_site_fract_z
Ta1 0.0000 0.0000 0.0000
Zn1 0.0000 0.5000 0.5000
Cr1 0.5000 0.5000 0.0000
Pd1 0.5000 0.0000 0.5000
# E above lowest polymorph in meV per atom: 66.6
# E_form in meV per atom: -65